1.
{
  "formula": "NaUSi",
  "functional": "PBE",
  "state": "relaxed",
  "lattice_angstrom": [[0.000, 3.423, 3.423], [3.423, 0.000, 3.423], [3.423, 3.423, 0.000]],
  "species": ["Si", "Na", "U"],
  "fractional_positions": [[0.750, 0.750, 0.750], [0.250, 0.250, 0.250], [0.000, 0.000, 0.000]],
  "vol_a3_per_atom": 26.7,
  "dft_energy_ev_per_cell": -15.06,
  "space_group": "No. 216"
}



2.
{
  "formula": "PmBi3S6",
  "functional": "PBE",
  "state": "relaxed",
  "lattice_angstrom": [[-9.312, -6.497, -2.666], [0.298, -1.877, 3.535], [-4.069, 9.513, 5.395]],
  "species": ["S", "S", "S", "S", "S", "S", "S", "S", "S", "S", "S", "S", "Bi", "Bi", "Bi", "Bi", "Bi", "Bi", "Pm", "Pm"],
  "fractional_positions": [[0.886, 0.750, 0.068], [0.615, 0.250, 0.464], [0.463, 0.250, 0.105], [0.114, 0.250, 0.932], [0.537, 0.750, 0.895], [0.720, 0.750, 0.235], [0.250, 0.750, 0.191], [0.750, 0.250, 0.809], [0.911, 0.750, 0.588], [0.385, 0.750, 0.536], [0.089, 0.250, 0.412], [0.280, 0.250, 0.765], [0.093, 0.250, 0.154], [0.907, 0.750, 0.846], [0.519, 0.750, 0.303], [0.835, 0.250, 0.431], [0.165, 0.750, 0.569], [0.481, 0.250, 0.697], [0.688, 0.250, 0.040], [0.312, 0.750, 0.960]],
  "vol_a3_per_atom": 26.2,
  "dft_energy_ev_per_cell": -99.05,
  "space_group": "No. 11"
}



3.
{
  "formula": "Ac2Sn5Ir3",
  "functional": "PBE",
  "state": "relaxed",
  "lattice_angstrom": [[6.165, 0.670, 6.823], [-8.029, 3.812, -2.451], [-2.209, -8.479, 2.870]],
  "species": ["Sn", "Sn", "Sn", "Sn", "Sn", "Sn", "Sn", "Sn", "Sn", "Sn", "Ir", "Ir", "Ir", "Ir", "Ir", "Ir", "Ac", "Ac", "Ac", "Ac"],
  "fractional_positions": [[0.250, 0.750, 0.500], [0.521, 0.750, 0.771], [0.592, 0.340, 0.933], [0.408, 0.660, 0.067], [0.979, 0.750, 0.229], [0.908, 0.840, 0.748], [0.021, 0.250, 0.771], [0.479, 0.250, 0.229], [0.750, 0.250, 0.500], [0.092, 0.160, 0.252], [0.861, 0.613, 0.474], [0.250, 0.250, 0.000], [0.139, 0.387, 0.526], [0.639, 0.113, 0.753], [0.361, 0.887, 0.247], [0.750, 0.750, 0.000], [0.140, 0.730, 0.870], [0.860, 0.270, 0.130], [0.360, 0.230, 0.590], [0.640, 0.770, 0.410]],
  "vol_a3_per_atom": 24.0,
  "dft_energy_ev_per_cell": -121.33,
  "space_group": "No. 72"
}